Computed, not measured: a relaxed structure of Li3Ga2FeO6 at the PBE with a Hubbard U level of DFT.

## Properties
Calculated total energy ... -5.704 eV/atom

a b c (Å): 5.0779 8.7961 5.1236
angles (deg): 90.00 109.24 90.00
Space group C2/m (No. 12)
One atom of each set of equivalent atoms:
Li1 0.0000 0.0000 0.0000 (multiplicity 2)
Li2 0.0000 0.3374 0.0000 (multiplicity 4)
Ga1 0.0000 0.1669 0.5000 (multiplicity 4)
Fe1 0.0000 0.5000 0.5000 (multiplicity 2)
O1 0.2383 0.3359 0.7231 (multiplicity 8)
O2 0.2457 0.0000 0.7223 (multiplicity 4)